Density functional theory data (GGA-PBE) for a geometry-optimized Cs2PRu structure.

a b c (Å): 5.6414 5.6414 5.6414
angles (deg): 60.00 60.00 60.00
Last column: magnetic moment on the atom in μB.
Sites, in units of the cell vectors:
Ru  0.5000  0.5000  0.5000  2.21
Cs  0.2500  0.2500  0.2500  0.05
Cs  0.7500  0.7500  0.7500  0.05
P  0.0000  0.0000  0.0000  0.34

Results
N(E_F) in states/eV per cell: 9.4
Calculated total energy in eV/atom: -2.715
Calculated density in g/cm³: 5.2
Calculated formation energy in eV/f.u.: 5.5
Total magnetic moment in μB/cell: 3.4